{"formula": "GdMgZn", "functional": "GGA-PBE", "state": "optimized geometry", "cell": [[5.199, -3.435, 0.000], [5.199, 3.435, 0.000], [-2.152, 0.000, 7.516]], "species": ["Gd", "Gd", "Gd", "Gd", "Mg", "Mg", "Mg", "Mg", "Zn", "Zn", "Zn", "Zn"], "fractional_positions": [[0.000, 0.000, 0.000], [0.189, 0.189, 0.707], [0.396, 0.396, 0.338], [0.535, 0.535, 0.971], [0.403, 0.896, 0.348], [0.700, 0.700, 0.684], [0.894, 0.894, 0.349], [0.896, 0.403, 0.348], [0.024, 0.530, 0.032], [0.167, 0.689, 0.651], [0.530, 0.024, 0.032], [0.689, 0.167, 0.651]], "crystal_system": "monoclinic", "final_energy_ev_per_atom": -2.701, "spacegroup": "Cm"}